## P
This record from the Alexandria database describes a geometry-optimized RbTe2AsI structure. The functional is PBE.

Summary:
Magnetization = 0.00 μB per formula unit
V = 189.41 Å³/cell

a b c (Å): 5.5773 5.5773 6.0889
angles (deg): 90.00 90.00 90.00
Closest atoms and distances in Å follow each position.
Sites, in units of the cell vectors:
Rb 0.0000 0.0000 0.0000  4 I 3.94, 8 Te 4.13
Te 0.0000 0.5000 0.5000  2 As 2.79
Te 0.5000 0.0000 0.5000  2 As 2.79
As 0.5000 0.5000 0.5000  4 Te 2.79, 2 I 3.04
I 0.5000 0.5000 0.0000  2 As 3.04

## Q
This record from the Alexandria database describes a geometry-optimized RbTe2AsI structure. The functional is PBE.

Summary:
Magnetization = 3.41 μB per formula unit
V = 287.54 Å³/cell

a b c (Å): 6.6456 6.6456 6.5107
angles (deg): 90.00 90.00 90.00
Closest atoms and distances in Å follow each position.
Sites, in units of the cell vectors:
Rb 0.0000 0.0000 0.0000  2 I 3.26, 4 Te 3.32
Te 0.0000 0.5000 0.0000  2 Rb 3.32
Te 0.5000 0.0000 0.0000  2 Rb 3.32
As 0.5000 0.5000 0.5000  8 Te 4.65, 4 I 4.70
I 0.0000 0.0000 0.5000  2 Rb 3.26

How do the structures above rank in stability at the extremes? P comes first and Q comes last.